# Rb3Mn2CoF9

A relaxed structure of Rb3Mn2CoF9 (PBE+U, Alexandria via LeMat-Bulk).

Lattice parameters (Å, degrees): 6.0320 6.0320 7.3819 90.00 90.00 120.00
With the nearest neighbours (Å) after each atom.
Fractional coordinates of all 15 atoms:
Rb: 0.3333 0.6667 0.6653  12 F 3.00-3.02
Rb: 0.0000 0.0000 0.0000  12 F 3.02
Rb: 0.6667 0.3333 0.3347  12 F 3.00-3.02
Mn: 0.3333 0.6667 0.1707  6 F 2.15-2.16
Mn: 0.6667 0.3333 0.8293  6 F 2.15-2.16
Co: 0.0000 0.0000 0.5000  6 F 2.08
F: 0.8366 0.1635 0.6618  1 Co 2.08, 1 Mn 2.16
F: 0.8366 0.6731 0.6618  1 Co 2.08, 1 Mn 2.16
F: 0.3269 0.1635 0.6618  1 Co 2.08, 1 Mn 2.16
F: 0.6731 0.8366 0.3382  1 Co 2.08, 1 Mn 2.16
F: 0.1635 0.3269 0.3382  1 Co 2.08, 1 Mn 2.16
F: 0.1635 0.8366 0.3382  1 Co 2.08, 1 Mn 2.16
F: 0.5000 0.0000 0.0000  2 Mn 2.15
F: 0.0000 0.5000 0.0000  2 Mn 2.15
F: 0.5000 0.5000 0.0000  2 Mn 2.15

Computed properties:
The value obtained for the raw total energy is -78.758 eV for the cell shown. For the total magnetic moment, the calculation gives 13.00 Bohr magnetons per cell.